Record 1
# Ca12AlCu6, relaxed, DFT PBE-GGA
data_Ca12AlCu6
_chemical_formula_sum 'Ca12 Al1 Cu6'
_cell_length_a 8.8831
_cell_length_b 8.8831
_cell_length_c 8.8831
_cell_angle_alpha 109.47
_cell_angle_beta 109.47
_cell_angle_gamma 109.47
_symmetry_space_group_name_H-M 'P 1'
_symmetry_Int_Tables_number 1
loop_
_symmetry_equiv_pos_as_xyz
'x,y,z'
loop_
_atom_site_label
_atom_site_fract_x
_atom_site_fract_y
_atom_site_fract_z
_atom_site_occupancy
Ca1 0.1129 0.8172 0.2957 1
Ca2 0.1828 0.2957 0.4785 1
Ca3 0.1828 0.7043 0.8871 1
Ca4 0.2957 0.1129 0.8172 1
Ca5 0.2957 0.4785 0.1828 1
Ca6 0.4785 0.1828 0.2957 1
Ca7 0.5215 0.8172 0.7043 1
Ca8 0.7043 0.5215 0.8172 1
Ca9 0.7043 0.8871 0.1828 1
Ca10 0.8172 0.2957 0.1129 1
Ca11 0.8172 0.7043 0.5215 1
Ca12 0.8871 0.1828 0.7043 1
Al1 0.0000 0.0000 0.0000 1
Cu1 0.1183 0.6183 0.5000 1
Cu2 0.3817 0.5000 0.8817 1
Cu3 0.5000 0.1183 0.6183 1
Cu4 0.5000 0.8817 0.3817 1
Cu5 0.6183 0.5000 0.1183 1
Cu6 0.8817 0.3817 0.5000 1
# Space-group type   Im-3, No. 204
# DOS at the Fermi energy   13.051 states/eV per cell
# Calculated formation energy   -0.0942 eV per atom
# Total moment   0.000 μB/atom

Record 2
# Pr5ThSe7, relaxed, DFT PBE-GGA
data_Pr5ThSe7
_chemical_formula_sum 'Pr10 Th2 Se14'
_cell_length_a 7.3692
_cell_length_b 7.3692
_cell_length_c 24.8685
_cell_angle_alpha 92.15
_cell_angle_beta 92.15
_cell_angle_gamma 32.82
_symmetry_space_group_name_H-M 'P 1'
_symmetry_Int_Tables_number 1
loop_
_symmetry_equiv_pos_as_xyz
'x,y,z'
loop_
_atom_site_label
_atom_site_fract_x
_atom_site_fract_y
_atom_site_fract_z
_atom_site_occupancy
Pr1 0.0000 0.0000 0.0000 1
Pr2 0.0005 0.0005 0.5000 1
Pr3 0.2723 0.2723 0.9299 1
Pr4 0.2844 0.2844 0.5711 1
Pr5 0.4447 0.4447 0.3526 1
Pr6 0.4560 0.4560 0.1462 1
Pr7 0.5443 0.5443 0.8539 1
Pr8 0.5563 0.5563 0.6475 1
Pr9 0.7168 0.7168 0.4289 1
Pr10 0.7277 0.7277 0.0701 1
Th1 0.2090 0.2090 0.2369 1
Th2 0.7917 0.7917 0.7634 1
Se1 0.0835 0.0835 0.3870 1
Se2 0.1016 0.1016 0.1189 1
Se3 0.1792 0.1792 0.8188 1
Se4 0.2027 0.2027 0.6837 1
Se5 0.3620 0.3620 0.4605 1
Se6 0.3661 0.3661 0.0379 1
Se7 0.4385 0.4385 0.7481 1
Se8 0.5621 0.5621 0.2519 1
Se9 0.6340 0.6340 0.9622 1
Se10 0.6391 0.6391 0.5395 1
Se11 0.7984 0.7984 0.3163 1
Se12 0.8210 0.8210 0.1811 1
Se13 0.8985 0.8985 0.8812 1
Se14 0.9177 0.9177 0.6130 1
# Space-group type   Cm, No. 8
# DOS at the Fermi energy   13.235 states/eV per cell
# Formation energy from raw total energies   -2258 kJ/mol of formula units
# Total moment   0.000 μB/atom

Record 3
# Pu2Zn3Ge2, relaxed, DFT PBE-GGA
data_Pu2Zn3Ge2
_chemical_formula_sum 'Pu2 Zn3 Ge2'
_cell_length_a 12.0750
_cell_length_b 12.0750
_cell_length_c 2.9308
_cell_angle_alpha 90.00
_cell_angle_beta 90.00
_cell_angle_gamma 161.29
_symmetry_space_group_name_H-M 'P 1'
_symmetry_Int_Tables_number 1
loop_
_symmetry_equiv_pos_as_xyz
'x,y,z'
loop_
_atom_site_label
_atom_site_fract_x
_atom_site_fract_y
_atom_site_fract_z
_atom_site_occupancy
Pu1 0.1400 0.8600 0.0000 1
Pu2 0.8600 0.1400 0.0000 1
Zn1 0.0000 0.0000 0.0000 1
Zn2 0.4426 0.5574 0.5000 1
Zn3 0.5574 0.4426 0.5000 1
Ge1 0.2842 0.7158 0.5000 1
Ge2 0.7158 0.2842 0.5000 1
# Space-group type   Cmmm, No. 65
# DOS at the Fermi energy   14.120 states/eV per cell
# Calculated formation energy   -0.1281 eV per atom
# Total moment   1.661 μB/atom

Record 4
# Li3PRu, relaxed, DFT PBE-GGA
data_Li3PRu
_chemical_formula_sum 'Li3 P1 Ru1'
_cell_length_a 4.4533
_cell_length_b 4.4533
_cell_length_c 4.4533
_cell_angle_alpha 90.00
_cell_angle_beta 90.00
_cell_angle_gamma 90.00
_symmetry_space_group_name_H-M 'P 1'
_symmetry_Int_Tables_number 1
loop_
_symmetry_equiv_pos_as_xyz
'x,y,z'
loop_
_atom_site_label
_atom_site_fract_x
_atom_site_fract_y
_atom_site_fract_z
_atom_site_occupancy
Li1 0.0000 0.0000 0.5000 1
Li2 0.0000 0.5000 0.0000 1
Li3 0.5000 0.0000 0.0000 1
P1 0.5000 0.5000 0.5000 1
Ru1 0.0000 0.0000 0.0000 1
# Space-group type   Pm-3m, No. 221
# E above lowest polymorph   453 meV per atom
# DOS at the Fermi energy   2.674 states/eV per cell
# Calculated formation energy   0.9712 eV per atom
# Total moment   0.000 μB/atom

Record 5
# CdHgRu2, relaxed, DFT PBE-GGA
data_CdHgRu2
_chemical_formula_sum 'Cd1 Hg1 Ru2'
_cell_length_a 4.0728
_cell_length_b 4.0728
_cell_length_c 4.1954
_cell_angle_alpha 90.00
_cell_angle_beta 90.00
_cell_angle_gamma 90.00
_symmetry_space_group_name_H-M 'P 1'
_symmetry_Int_Tables_number 1
loop_
_symmetry_equiv_pos_as_xyz
'x,y,z'
loop_
_atom_site_label
_atom_site_fract_x
_atom_site_fract_y
_atom_site_fract_z
_atom_site_occupancy
Cd1 0.0000 0.0000 0.0000 1
Hg1 0.5000 0.5000 0.0000 1
Ru1 0.0000 0.5000 0.5000 1
Ru2 0.5000 0.0000 0.5000 1
# Space-group type   P4/mmm, No. 123
# E above lowest polymorph   383 meV per atom
# DOS at the Fermi energy   3.882 states/eV per cell
# Calculated formation energy   0.5802 eV per atom
# Total moment   0.775 μB/atom

Record 6
# Sc3NiMo, relaxed, DFT PBE-GGA
data_Sc3NiMo
_chemical_formula_sum 'Sc3 Ni1 Mo1'
_cell_length_a 4.7717
_cell_length_b 4.7717
_cell_length_c 4.7717
_cell_angle_alpha 90.00
_cell_angle_beta 90.00
_cell_angle_gamma 90.00
_symmetry_space_group_name_H-M 'P 1'
_symmetry_Int_Tables_number 1
loop_
_symmetry_equiv_pos_as_xyz
'x,y,z'
loop_
_atom_site_label
_atom_site_fract_x
_atom_site_fract_y
_atom_site_fract_z
_atom_site_occupancy
Sc1 0.0000 0.0000 0.5000 1
Sc2 0.0000 0.5000 0.0000 1
Sc3 0.5000 0.0000 0.0000 1
Ni1 0.0000 0.0000 0.0000 1
Mo1 0.5000 0.5000 0.5000 1
# Space-group type   Pm-3m, No. 221
# E above lowest polymorph   0 meV per atom
# DOS at the Fermi energy   4.529 states/eV per cell
# Calculated formation energy   0.4187 eV per atom
# Total moment   0.365 μB/atom

Record 7
# SrFe2Ni, relaxed, DFT PBE-GGA
data_SrFe2Ni
_chemical_formula_sum 'Sr1 Fe2 Ni1'
_cell_length_a 3.1637
_cell_length_b 3.1637
_cell_length_c 6.9803
_cell_angle_alpha 90.00
_cell_angle_beta 90.00
_cell_angle_gamma 90.00
_symmetry_space_group_name_H-M 'P 1'
_symmetry_Int_Tables_number 1
loop_
_symmetry_equiv_pos_as_xyz
'x,y,z'
loop_
_atom_site_label
_atom_site_fract_x
_atom_site_fract_y
_atom_site_fract_z
_atom_site_occupancy
Sr1 0.0000 0.0000 0.0000 1
Fe1 0.0000 0.0000 0.5087 1
Fe2 0.5000 0.5000 0.3445 1
Ni1 0.5000 0.5000 0.6803 1
# Space-group type   P4mm, No. 99
# DOS at the Fermi energy   4.733 states/eV per cell
# Calculated formation energy   0.4210 eV per atom
# Total moment   1.432 μB/atom

Record 8
# Ca2NdCd6, relaxed, DFT PBE-GGA
data_Ca2NdCd6
_chemical_formula_sum 'Ca2 Nd1 Cd6'
_cell_length_a 8.7479
_cell_length_b 8.7479
_cell_length_c 3.5531
_cell_angle_alpha 90.00
_cell_angle_beta 90.00
_cell_angle_gamma 120.00
_symmetry_space_group_name_H-M 'P 1'
_symmetry_Int_Tables_number 1
loop_
_symmetry_equiv_pos_as_xyz
'x,y,z'
loop_
_atom_site_label
_atom_site_fract_x
_atom_site_fract_y
_atom_site_fract_z
_atom_site_occupancy
Ca1 0.3333 0.6667 0.0000 1
Ca2 0.6667 0.3333 0.0000 1
Nd1 0.0000 0.0000 0.0000 1
Cd1 0.0000 0.3348 0.5000 1
Cd2 0.0000 0.6652 0.5000 1
Cd3 0.3348 0.0000 0.5000 1
Cd4 0.3348 0.3348 0.5000 1
Cd5 0.6652 0.0000 0.5000 1
Cd6 0.6652 0.6652 0.5000 1
# Space-group type   P6/mmm, No. 191
# DOS at the Fermi energy   6.561 states/eV per cell
# Calculated formation energy   -0.3340 eV per atom
# Total moment   0.006 μB/atom

Record 9
# Er2AlZn3Cu4, relaxed, DFT PBE-GGA
data_Er2AlZn3Cu4
_chemical_formula_sum 'Er2 Al1 Zn3 Cu4'
_cell_length_a 3.9057
_cell_length_b 3.9057
_cell_length_c 11.0817
_cell_angle_alpha 90.00
_cell_angle_beta 90.00
_cell_angle_gamma 90.00
_symmetry_space_group_name_H-M 'P 1'
_symmetry_Int_Tables_number 1
loop_
_symmetry_equiv_pos_as_xyz
'x,y,z'
loop_
_atom_site_label
_atom_site_fract_x
_atom_site_fract_y
_atom_site_fract_z
_atom_site_occupancy
Er1 0.0000 0.5000 0.2491 1
Er2 0.5000 0.0000 0.7509 1
Al1 0.5000 0.5000 0.0000 1
Zn1 0.0000 0.0000 0.0000 1
Zn2 0.0000 0.5000 0.6375 1
Zn3 0.5000 0.0000 0.3625 1
Cu1 0.0000 0.0000 0.5000 1
Cu2 0.0000 0.5000 0.8570 1
Cu3 0.5000 0.0000 0.1430 1
Cu4 0.5000 0.5000 0.5000 1
# Space-group type   P-4m2, No. 115
# DOS at the Fermi energy   4.904 states/eV per cell
# Calculated formation energy   -0.2736 eV per atom
# Total moment   0.000 μB/atom

Record 10
# Sc6Ga3Ni, relaxed, DFT PBE-GGA
data_Sc6Ga3Ni
_chemical_formula_sum 'Sc12 Ga6 Ni2'
_cell_length_a 8.6891
_cell_length_b 4.6636
_cell_length_c 10.3882
_cell_angle_alpha 90.00
_cell_angle_beta 110.55
_cell_angle_gamma 90.00
_symmetry_space_group_name_H-M 'P 1'
_symmetry_Int_Tables_number 1
loop_
_symmetry_equiv_pos_as_xyz
'x,y,z'
loop_
_atom_site_label
_atom_site_fract_x
_atom_site_fract_y
_atom_site_fract_z
_atom_site_occupancy
Sc1 0.0356 0.2500 0.4073 1
Sc2 0.1540 0.7500 0.1837 1
Sc3 0.2465 0.2500 0.0128 1
Sc4 0.3743 0.7500 0.8487 1
Sc5 0.3754 0.2500 0.3469 1
Sc6 0.3896 0.2500 0.6438 1
Sc7 0.6104 0.7500 0.3562 1
Sc8 0.6246 0.7500 0.6531 1
Sc9 0.6257 0.2500 0.1513 1
Sc10 0.7535 0.7500 0.9872 1
Sc11 0.8460 0.2500 0.8163 1
Sc12 0.9644 0.7500 0.5927 1
Ga1 0.0432 0.7500 0.8869 1
Ga2 0.1257 0.2500 0.7244 1
Ga3 0.2765 0.7500 0.4821 1
Ga4 0.7235 0.2500 0.5179 1
Ga5 0.8743 0.7500 0.2756 1
Ga6 0.9568 0.2500 0.1131 1
Ni1 0.4047 0.7500 0.1126 1
Ni2 0.5953 0.2500 0.8874 1
# Space-group type   P2_1/m, No. 11
# DOS at the Fermi energy   16.552 states/eV per cell
# Calculated formation energy   -0.4623 eV per atom
# Total moment   0.000 μB/atom

Record 11
# K2BiCl, relaxed, DFT PBE-GGA
data_K2BiCl
_chemical_formula_sum 'K2 Bi1 Cl1'
_cell_length_a 3.6818
_cell_length_b 3.6818
_cell_length_c 9.4185
_cell_angle_alpha 90.00
_cell_angle_beta 90.00
_cell_angle_gamma 90.00
_symmetry_space_group_name_H-M 'P 1'
_symmetry_Int_Tables_number 1
loop_
_symmetry_equiv_pos_as_xyz
'x,y,z'
loop_
_atom_site_label
_atom_site_fract_x
_atom_site_fract_y
_atom_site_fract_z
_atom_site_occupancy
K1 0.0000 0.0000 0.2032 1
K2 0.0000 0.0000 0.7968 1
Bi1 0.5000 0.5000 0.5000 1
Cl1 0.5000 0.5000 0.0000 1
# Space-group type   P4/mmm, No. 123
# E above lowest polymorph   0 meV per atom
# DOS at the Fermi energy   0.948 states/eV per cell
# Formation energy from raw total energies   -412 kJ/mol of formula units
# Total moment   0.000 μB/atom

Record 12
# Co4Ir5, relaxed, DFT PBE-GGA
data_Co4Ir5
_chemical_formula_sum 'Co4 Ir5'
_cell_length_a 5.9047
_cell_length_b 5.9047
_cell_length_c 5.9047
_cell_angle_alpha 95.86
_cell_angle_beta 95.86
_cell_angle_gamma 142.72
_symmetry_space_group_name_H-M 'P 1'
_symmetry_Int_Tables_number 1
loop_
_symmetry_equiv_pos_as_xyz
'x,y,z'
loop_
_atom_site_label
_atom_site_fract_x
_atom_site_fract_y
_atom_site_fract_z
_atom_site_occupancy
Co1 0.0000 0.3403 0.3403 1
Co2 0.0000 0.6597 0.6597 1
Co3 0.3403 0.0000 0.3403 1
Co4 0.6597 0.0000 0.6597 1
Ir1 0.0000 0.0000 0.0000 1
Ir2 0.3314 0.3314 0.6628 1
Ir3 0.3314 0.6686 0.0000 1
Ir4 0.6686 0.3314 0.0000 1
Ir5 0.6686 0.6686 0.3372 1
# Space-group type   I4/mmm, No. 139
# E above lowest polymorph   23 meV per atom
# DOS at the Fermi energy   13.814 states/eV per cell
# Calculated formation energy   0.0777 eV per atom
# Total moment   0.751 μB/atom